Material: CsGeN2O
Method: DFT, PBE
State: optimized geometry

The calculation puts the total magnetization at 3.1 μB per formula unit. The value obtained for the formation energy from raw total energies is 0.64 eV/atom. Its mass density is 5673 kg/m³.

It has space group P4/mmm (No. 123), with a = 4.276 Å, b = 4.276 Å, c = 3.995 Å, α = 90.00°, β = 90.00° and γ = 90.00°. The asymmetric unit holds Cs at (0.000, 0.000, 0.000), Ge at (0.500, 0.500, 0.500), N at (0.000, 0.500, 0.500) and O at (0.500, 0.500, 0.000).



Material: CsGeN2O
Method: DFT, PBE
State: optimized geometry

The calculation puts the total magnetization at 0.0 μB per formula unit. The value obtained for the formation energy from raw total energies is 2.23 eV/atom. Its mass density is 4945 kg/m³.

It has space group P4/mmm (No. 123), with a = 4.373 Å, b = 4.373 Å, c = 4.383 Å, α = 90.00°, β = 90.00° and γ = 90.00°. The asymmetric unit holds Cs at (0.000, 0.000, 0.000), Ge at (0.500, 0.500, 0.500), N at (0.000, 0.500, 0.000) and O at (0.000, 0.000, 0.500).



Material: CsPaGeN4
Method: DFT, PBE
State: optimized geometry

The calculation puts the total magnetization at 0.0 μB per formula unit. The value obtained for the formation energy from raw total energies is -0.20 eV/atom. Its mass density is 5955 kg/m³.

It has space group P2_1/m (No. 11), with a = 5.596 Å, b = 5.709 Å, c = 8.599 Å, α = 90.00°, β = 90.29° and γ = 90.00°. The asymmetric unit holds Cs at (0.246, 0.250, 0.393), Pa at (0.296, 0.750, 0.042), Ge at (0.185, 0.250, 0.841), N at (0.062, 0.250, 0.053), N at (0.100, 0.750, 0.266) and N at (0.408, 0.005, 0.850).